# 1
# Nd4HoTh3S8

An optimized crystal structure of Nd4HoTh3S8 (PBE, Alexandria via LeMat-Bulk).

a b c (Å): 8.0537 8.0537 19.8694
angles (deg): 90.00 90.00 120.00
Last column: nearest neighbours and their distance in Å.
Space group R-3m (No. 166, hexagonal axes)
One atom of each set of equivalent atoms:
Nd 0.0000 0.0000 0.0000 (multiplicity 3)  6 S 2.92
Nd 0.0000 0.5000 0.0000 (multiplicity 9)  6 S 2.85-2.86
Ho 0.0000 0.0000 0.5000 (multiplicity 3)  6 S 2.79
Th 0.0000 0.5000 0.5000 (multiplicity 9)  6 S 2.85-2.86
S 0.0000 0.0000 0.2501 (multiplicity 6)  3 Nd 2.85, 3 Th 2.86
S 0.0074 0.5037 0.2478 (multiplicity 18)  1 Ho 2.79, 2 Th 2.85, 3 Nd 2.86-2.92

Crystal system: trigonal
D(E_F): 21.22 states/eV/cell
Density: 7.56 g cm⁻³
E_form (uncorrected): -1.942 eV per atom


# 2
# Nd3HoTh4S8

An optimized crystal structure of Nd3HoTh4S8 (PBE, Alexandria via LeMat-Bulk).

a b c (Å): 7.9819 7.9819 20.1417
angles (deg): 90.00 90.00 120.00
Last column: nearest neighbours and their distance in Å.
Space group R-3m (No. 166, hexagonal axes)
One atom of each set of equivalent atoms:
Nd 0.0000 0.5000 0.0000 (multiplicity 9)  6 S 2.85
Ho 0.0000 0.0000 0.0000 (multiplicity 3)  6 S 2.78
Th 0.0000 0.0000 0.5000 (multiplicity 3)  6 S 2.92
Th 0.0000 0.5000 0.5000 (multiplicity 9)  6 S 2.85-2.86
S 0.0000 0.0000 0.2503 (multiplicity 6)  3 Nd 2.85, 3 Th 2.85
S 0.0076 0.5038 0.7479 (multiplicity 18)  1 Ho 2.78, 2 Nd 2.85, 3 Th 2.86-2.92

Crystal system: trigonal
D(E_F): 17.17 states/eV/cell
Density: 7.99 g cm⁻³
E_form (uncorrected): -1.917 eV per atom


# 3
# NdHoTl2S4

An optimized crystal structure of NdHoTl2S4 (PBE, Alexandria via LeMat-Bulk).

a b c (Å): 7.1014 4.0969 7.8742
angles (deg): 90.00 107.45 90.00
Last column: nearest neighbours and their distance in Å.
Space group P2/m (No. 10)
One atom of each set of equivalent atoms:
Nd 0.0000 0.0000 0.0000 (multiplicity 1)  6 S 2.84-2.85
Ho 0.5000 0.5000 0.0000 (multiplicity 1)  6 S 2.76-2.77
Tl 0.0000 0.5000 0.5000 (multiplicity 1)  6 S 3.30
Tl 0.5000 0.0000 0.5000 (multiplicity 1)  6 S 3.23
S 0.2431 0.5000 0.2024 (multiplicity 2)  1 Ho 2.76, 2 Nd 2.84
S 0.2759 0.0000 0.8014 (multiplicity 2)  2 Ho 2.77, 1 Nd 2.85

Crystal system: monoclinic
D(E_F): 0.00 states/eV/cell
Density: 6.43 g cm⁻³
E_form (uncorrected): -1.467 eV per atom


# 4
# Nd3HoTl4S8

An optimized crystal structure of Nd3HoTl4S8 (PBE, Alexandria via LeMat-Bulk).

a b c (Å): 8.2820 8.2820 22.5128
angles (deg): 90.00 90.00 120.00
Last column: nearest neighbours and their distance in Å.
Space group R-3m (No. 166, hexagonal axes)
One atom of each set of equivalent atoms:
Nd 0.0000 0.5000 0.0000 (multiplicity 9)  6 S 2.84-2.86
Ho 0.0000 0.0000 0.0000 (multiplicity 3)  6 S 2.77
Tl 0.0000 0.0000 0.5000 (multiplicity 3)  6 S 3.32
Tl 0.0000 0.5000 0.5000 (multiplicity 9)  6 S 3.25-3.26
S 0.0000 0.0000 0.2649 (multiplicity 6)  3 Nd 2.84
S 0.0089 0.5044 0.7338 (multiplicity 18)  1 Ho 2.77, 2 Nd 2.86

Crystal system: trigonal
D(E_F): 0.00 states/eV/cell
Density: 6.23 g cm⁻³
E_form (uncorrected): -1.459 eV per atom


# 5
# Nd3HoTm3S8

An optimized crystal structure of Nd3HoTm3S8 (PBE, Alexandria via LeMat-Bulk).

a b c (Å): 7.8335 7.8335 19.6319
angles (deg): 90.00 90.00 120.00
Last column: nearest neighbours and their distance in Å.
Space group R-3m (No. 166, hexagonal axes)
One atom of each set of equivalent atoms:
Nd 0.0000 0.5000 0.0000 (multiplicity 9)  6 S 2.87
Ho 0.0000 0.0000 0.5000 (multiplicity 3)  6 S 2.76
Tm 0.0000 0.5000 0.5000 (multiplicity 9)  6 S 2.71
S 0.0000 0.0000 0.2431 (multiplicity 6)  3 Tm 2.71, 3 Nd 2.87
S 0.0055 0.5027 0.7555 (multiplicity 18)  2 Tm 2.71, 1 Ho 2.76, 2 Nd 2.87

Crystal system: trigonal
D(E_F): 20.79 states/eV/cell
Density: 6.50 g cm⁻³
E_form (uncorrected): -2.038 eV per atom


# 6
# NdHo3Tm2S6

An optimized crystal structure of NdHo3Tm2S6 (PBE, Alexandria via LeMat-Bulk).

a b c (Å): 6.7502 11.7353 6.7497
angles (deg): 90.00 109.53 90.00
Last column: nearest neighbours and their distance in Å.
Space group C2/m (No. 12)
One atom of each set of equivalent atoms:
Nd 0.0000 0.0000 0.0000 (multiplicity 2)  6 S 2.82-2.85
Ho 0.0000 0.1602 0.5000 (multiplicity 4)  6 S 2.73-2.78
Ho 0.0000 0.5000 0.5000 (multiplicity 2)  6 S 2.69-2.78
Tm 0.0000 0.3344 0.0000 (multiplicity 4)  6 S 2.72-2.75
S 0.2373 0.5000 0.2494 (multiplicity 4)  3 Ho 2.69-2.74, 2 Tm 2.72, 1 Nd 2.82
S 0.2423 0.3267 0.7459 (multiplicity 8)  3 Ho 2.73-2.78, 2 Tm 2.74-2.75, 1 Nd 2.85

Crystal system: monoclinic
D(E_F): 9.25 states/eV/cell
Density: 7.71 g cm⁻³
E_form (uncorrected): -1.967 eV per atom


# 7
# Nd4Ho3TmS8

An optimized crystal structure of Nd4Ho3TmS8 (PBE, Alexandria via LeMat-Bulk).

a b c (Å): 7.8648 7.8648 19.8847
angles (deg): 90.00 90.00 120.00
Last column: nearest neighbours and their distance in Å.
Space group R-3m (No. 166, hexagonal axes)
One atom of each set of equivalent atoms:
Nd 0.0000 0.0000 0.0000 (multiplicity 3)  6 S 2.90
Nd 0.0000 0.5000 0.0000 (multiplicity 9)  6 S 2.89
Ho 0.0000 0.5000 0.5000 (multiplicity 9)  6 S 2.74
Tm 0.0000 0.0000 0.5000 (multiplicity 3)  6 S 2.72
S 0.0000 0.0000 0.2437 (multiplicity 6)  3 Ho 2.74, 3 Nd 2.89
S 0.0021 0.5010 0.2433 (multiplicity 18)  1 Tm 2.72, 2 Ho 2.74, 3 Nd 2.89-2.90

Crystal system: trigonal
D(E_F): 20.44 states/eV/cell
Density: 7.00 g cm⁻³
E_form (uncorrected): -2.000 eV per atom


# 8
# Nd2Ho3TmS6

An optimized crystal structure of Nd2Ho3TmS6 (PBE, Alexandria via LeMat-Bulk).

a b c (Å): 17.1692 3.9197 7.9390
angles (deg): 90.00 103.56 90.00
Last column: nearest neighbours and their distance in Å.
Space group C2/m (No. 12)
One atom of each set of equivalent atoms:
Nd 0.1680 0.0000 0.3364 (multiplicity 4)  6 S 2.84-2.88
Ho 0.0000 0.5000 0.5000 (multiplicity 2)  6 S 2.71-2.81
Ho 0.1697 0.0000 0.8335 (multiplicity 4)  6 S 2.72-2.77
Tm 0.0000 0.5000 0.0000 (multiplicity 2)  6 S 2.74-2.77
S 0.0045 0.0000 0.7559 (multiplicity 4)  3 Ho 2.76-2.81, 2 Tm 2.77, 1 Nd 2.88
S 0.1621 0.5000 0.5935 (multiplicity 4)  3 Ho 2.71-2.72, 3 Nd 2.84-2.85
S 0.1641 0.5000 0.0709 (multiplicity 4)  3 Ho 2.74-2.77, 1 Tm 2.74, 2 Nd 2.87

Crystal system: monoclinic
D(E_F): 10.11 states/eV/cell
Density: 7.32 g cm⁻³
E_form (uncorrected): -1.981 eV per atom


# 9
# NdHo2TmS6

An optimized crystal structure of NdHo2TmS6 (PBE, Alexandria via LeMat-Bulk).

a b c (Å): 6.9398 6.9398 18.5096
angles (deg): 90.00 90.00 120.00
Last column: nearest neighbours and their distance in Å.
Space group R3 (No. 146, hexagonal axes)
One atom of each set of equivalent atoms:
Nd 0.0000 0.0000 0.0000 (multiplicity 3)  6 S 2.79-2.91
Ho 0.0000 0.0000 0.2919 (multiplicity 3)  6 S 2.71-2.77
Ho 0.0000 0.0000 0.7962 (multiplicity 3)  6 S 2.70-2.77
Tm 0.0000 0.0000 0.4931 (multiplicity 3)  6 S 2.70-2.75
S 0.0194 0.7165 0.3935 (multiplicity 9)  2 Ho 2.70-2.77, 1 Tm 2.75, 1 Nd 2.79
S 0.0276 0.3604 0.5590 (multiplicity 9)  1 Tm 2.70, 2 Ho 2.71-2.77, 1 Nd 2.91

Crystal system: trigonal
D(E_F): 0.00 states/eV/cell
Density: 5.39 g cm⁻³
E_form (uncorrected): -2.046 eV per atom


# 10
# NdHo2TmS4

An optimized crystal structure of NdHo2TmS4 (PBE, Alexandria via LeMat-Bulk).

a b c (Å): 6.7802 3.8738 6.8678
angles (deg): 90.00 108.85 90.00
Last column: nearest neighbours and their distance in Å.
Space group P2/m (No. 10)
One atom of each set of equivalent atoms:
Nd 0.0000 0.0000 0.0000 (multiplicity 1)  6 S 2.84
Ho 0.5000 0.0000 0.5000 (multiplicity 1)  6 S 2.71
Ho 0.5000 0.5000 0.0000 (multiplicity 1)  6 S 2.79-2.80
Tm 0.0000 0.5000 0.5000 (multiplicity 1)  6 S 2.75-2.76
S 0.2522 0.0000 0.7412 (multiplicity 2)  3 Ho 2.71-2.79, 2 Tm 2.75, 1 Nd 2.84
S 0.2599 0.5000 0.2631 (multiplicity 2)  3 Ho 2.71-2.80, 1 Tm 2.76, 2 Nd 2.84

Crystal system: monoclinic
D(E_F): 4.55 states/eV/cell
Density: 7.50 g cm⁻³
E_form (uncorrected): -1.965 eV per atom